No. 1
# Cr2IrPt | Alexandria | PBE-GGA | relaxed
# Total energy: -0.644 Ry/atom
# Space-group type: No. 25
# ΔE_f: -225 meV per atom
data_Cr2IrPt
_chemical_formula_sum 'Cr2 Ir1 Pt1'
_cell_length_a 2.675
_cell_length_b 4.246
_cell_length_c 4.694
_cell_angle_alpha 90.00
_cell_angle_beta 90.00
_cell_angle_gamma 90.00
_symmetry_space_group_name_H-M 'P 1'
_symmetry_Int_Tables_number 1
_symmetry_space_group_name_Hall 'P 1'
loop_
_atom_site_label
_atom_site_fract_x
_atom_site_fract_y
_atom_site_fract_z
Cr1 0.000 0.000 0.000
Cr2 0.000 0.500 0.318
Ir1 0.500 0.500 0.842
Pt1 0.500 0.000 0.483

No. 2
# MnNbCoHSe | Alexandria | PBE-GGA | relaxed
# Total energy: -0.491 Ry/atom
# Space-group type: No. 1
data_MnNbCoHSe
_chemical_formula_sum 'Mn1 Nb1 Co1 H1 Se1'
_cell_length_a 3.185
_cell_length_b 3.212
_cell_length_c 6.050
_cell_angle_alpha 105.38
_cell_angle_beta 90.01
_cell_angle_gamma 90.00
_symmetry_space_group_name_H-M 'P 1'
_symmetry_Int_Tables_number 1
_symmetry_space_group_name_Hall 'P 1'
loop_
_atom_site_label
_atom_site_fract_x
_atom_site_fract_y
_atom_site_fract_z
Mn1 0.000 0.000 0.000
Nb1 0.500 0.615 0.226
Co1 0.500 0.367 0.734
H1 0.998 0.137 0.271
Se1 0.000 0.803 0.604

No. 3
# K4Pa3TlO12 | Alexandria | PBE-GGA | relaxed
# Total energy: -0.531 Ry/atom
# Space-group type: No. 229
# Formation energy from raw total energies: -2.490 eV/atom
data_K4Pa3TlO12
_chemical_formula_sum 'K4 Pa3 Tl1 O12'
_cell_length_a 7.579
_cell_length_b 7.579
_cell_length_c 7.579
_cell_angle_alpha 109.47
_cell_angle_beta 109.47
_cell_angle_gamma 109.47
_symmetry_space_group_name_H-M 'P 1'
_symmetry_Int_Tables_number 1
_symmetry_space_group_name_Hall 'P 1'
loop_
_atom_site_label
_atom_site_fract_x
_atom_site_fract_y
_atom_site_fract_z
K1 0.000 0.000 0.500
K2 0.000 0.500 0.000
K3 0.500 0.000 0.000
K4 0.500 0.500 0.500
Pa1 0.000 0.500 0.500
Pa2 0.500 0.000 0.500
Pa3 0.500 0.500 0.000
Tl1 0.000 0.000 0.000
O1 0.000 0.261 0.261
O2 0.000 0.739 0.739
O3 0.250 0.500 0.750
O4 0.250 0.750 0.500
O5 0.261 0.000 0.261
O6 0.261 0.261 0.000
O7 0.500 0.250 0.750
O8 0.500 0.750 0.250
O9 0.739 0.000 0.739
O10 0.739 0.739 0.000
O11 0.750 0.250 0.500
O12 0.750 0.500 0.250